(1)
Cs2TlPbBr6 | the Alexandria database | PBE | relaxed; symmetry = No. 139; relative energy among the computed polymorphs = 0.0071 eV/atom; ΔE_f (raw) = -1.1830 eV/atom; DFT total energy = -2.965 eV per atom
1.0
8.403 0.000 0.000
0.000 8.403 0.000
4.202 4.202 5.926
Br Pb Tl Cs
6 1 1 2
direct
0.249 0.751 0.000
0.751 0.751 0.498
0.751 0.751 0.000
0.751 0.249 0.000
0.249 0.249 0.502
0.249 0.249 0.000
0.000 0.000 0.000
0.500 0.500 0.000
0.750 0.250 0.500
0.250 0.750 0.500


(2)
Hf5SnB2 | the Alexandria database | PBE | relaxed; ΔE_f = -0.38 eV per atom; symmetry = No. 140; DFT total energy = -8.774 eV per atom
1.0
2.705 -1.149 -6.114
4.774 -3.892 2.844
-7.388 -2.452 0.956
Hf Sn B
10 2 4
direct
0.529 0.716 0.746
0.284 0.784 0.254
0.971 0.471 0.254
0.216 0.029 0.746
0.471 0.284 0.254
0.500 0.500 0.000
0.029 0.529 0.746
0.000 0.000 0.000
0.716 0.216 0.746
0.784 0.971 0.254
0.250 0.250 0.500
0.750 0.750 0.500
0.847 0.653 0.000
0.153 0.347 0.000
0.653 0.153 0.000
0.347 0.847 0.000


(3)
BaLi2Mg2Ge2 | the Alexandria database | PBE | relaxed; ΔE_f = -0.43 eV per atom; symmetry = No. 166; DFT total energy = -3.025 eV per atom
1.0
9.167 0.006 0.003
8.004 4.469 0.003
8.004 2.086 3.953
Mg Ba Ge Li
2 1 2 2
direct
0.136 0.136 0.136
0.864 0.864 0.864
0.000 0.000 0.000
0.757 0.757 0.757
0.243 0.243 0.243
0.569 0.569 0.569
0.431 0.431 0.431


(4)
KSr2Ir | the Alexandria database | PBE | relaxed; ΔE_f = 0.20 eV per atom; symmetry = No. 38; relative energy among the computed polymorphs = 0.1968 eV/atom; DFT total energy = -3.129 eV per atom
1.0
4.511 0.000 0.000
0.000 7.698 0.059
0.000 5.445 5.438
K Ir Sr
1 1 2
direct
0.500 0.650 0.650
0.000 0.485 0.485
0.500 0.361 0.361
0.000 0.003 0.003


- Among the records above, which one has the highest DFT total energy?
  Cs2TlPbBr6


- Which of these has the highest DFT total energy?
  Cs2TlPbBr6